Density functional theory data (PBE+U) for a relaxed PmMo2PdO8 crystal.

Geometry as POSCAR:
```
PmMo2PdO8
1.0
-0.6921 -6.0624 -1.3397
4.1072 2.9718 -3.6505
2.1376 0.3630 5.8588
Pm Mo O Pd
1 2 8 1
direct
0.2500 0.7500 0.5000
0.7500 0.2500 0.5000
0.5000 0.5000 0.0000
0.3909 0.0790 0.3119
0.9210 0.2329 0.3119
0.3535 0.1529 0.7994
0.7671 0.0790 0.6881
0.3535 0.5541 0.2006
0.8471 0.6465 0.2006
0.9210 0.6091 0.6881
0.4459 0.6465 0.7994
0.0000 0.0000 0.0000
```

## Properties
Symmetry: I-4m2
Electronic total energy (eV/atom): -7.032
Calculated volume (Å³/cell): 187